The following is a DFT calculation (PBE) of an optimized crystal structure of K2PmSnTe4.

Summary:
Energy relative to the elements, uncorrected ... -7.72 eV/f.u.
Space group ... P2/m

Cell and atoms, written as extended XYZ:
```
8
Lattice="4.502 0.000 0.000 0.000 7.974 0.180 0.000 -2.758 8.220" Properties=species:S:1:pos:R:3 pbc="T T T"
K 2.251 -1.379 4.110
K 0.000 2.608 4.200
Pm 2.251 3.987 0.090
Te 2.251 3.937 6.657
Te 2.251 1.279 1.742
Te 0.000 5.331 1.862
Te 0.000 -0.114 6.538
Sn 0.000 0.000 0.000
```


The following is a DFT calculation (PBE) of an optimized crystal structure of K4Pm3SnTe8.

Summary:
Energy relative to the elements, uncorrected ... -19.02 eV/f.u.
Space group ... R-3m

Cell and atoms, written as extended XYZ:
```
16
Lattice="9.168 0.000 0.000 0.000 9.790 0.430 -4.584 -4.582 6.485" Properties=species:S:1:pos:R:3 pbc="T T T"
K 2.292 -2.291 3.243
K -2.292 -2.291 3.243
K 4.584 0.000 0.000
K 0.000 0.000 0.000
Te 6.910 2.736 0.285
Te 0.000 0.398 3.519
Te 0.000 4.798 3.340
Te -2.326 2.473 6.630
Te 2.326 2.473 6.630
Te 2.257 2.736 0.285
Te 4.584 4.811 3.396
Te 4.584 0.410 3.575
Sn 0.000 4.895 0.215
Pm -2.292 2.604 3.458
Pm 2.292 2.604 3.458
Pm 4.584 4.895 0.215
```


The following is a DFT calculation (PBE) of an optimized crystal structure of KPmSn2Te4.

Summary:
Energy relative to the elements, uncorrected ... -6.14 eV/f.u.
Space group ... P2/m

Cell and atoms, written as extended XYZ:
```
8
Lattice="4.567 0.000 0.000 0.000 8.016 -0.244 0.000 2.739 7.522" Properties=species:S:1:pos:R:3 pbc="T T T"
Te 4.567 2.664 2.003
Te 2.283 4.000 5.464
Te 2.283 6.755 1.814
Te 0.000 8.091 5.276
Sn 2.283 1.370 3.761
Sn 0.000 2.739 7.522
Pm 0.000 5.377 3.639
K 2.283 4.008 -0.122
```


The following is a DFT calculation (PBE) of an optimized crystal structure of KPmTlSn.

Summary:
Space group ... F-43m
Calculated formation energy ... -4.3 kcal/mol of atoms

Cell and atoms, written as extended XYZ:
```
4
Lattice="5.619 0.000 0.000 2.810 4.867 0.000 2.810 1.622 4.588" Properties=species:S:1:pos:R:3 pbc="T T T"
Sn 5.619 3.244 2.294
Tl 0.000 0.000 0.000
Pm 2.810 1.622 1.147
K 8.429 4.867 3.441
```


What did we get for E_tot? Answer: -3.9050; -4.1752; -4.0694; -3.2408 eV per atom, in the order shown.